# 1
A relaxed structure of YTm2Cd5, computed with PBE.

```
YTm2Cd5
1.0
-4.5735 1.9124 1.1968
-1.6511 -4.6809 1.1704
5.3623 2.3533 5.8662
Tm Cd Y
2 5 1
Cartesian
-2.0310 -0.9186 4.5715 Tm
1.1687 0.5033 3.6618 Tm
-0.5879 1.6879 5.9214 Cd
-0.2744 -2.1031 2.3119 Cd
-3.1123 -1.3843 1.1836 Cd
-1.7357 1.1936 2.3251 Cd
0.8733 -1.6088 5.9082 Cd
0.0000 0.0000 0.0000 Y
```

# 2
MgTc2Pb (PBE, relaxed); energy relative to the lowest polymorph listed for this composition = 0.6075 eV per atom
1.0
2.9539 -0.0123 0.0000
-1.1017 2.7408 0.0000
0.0000 0.0000 8.9738
Mg Tc Pb
1 2 1
Cartesian
0.9261 1.3643 2.2434 Mg
0.0000 0.0000 4.4588 Tc
0.0000 0.0000 0.0281 Tc
0.9261 1.3643 6.7303 Pb

For each record above, in turn, the calculated E_form values are -0.30; 0.73 eV per atom.
For each record above, in turn, the calculated N(E_F) values are 3.1; 4.0 states/eV per cell.